Computed, not measured: a geometry-optimized PaV2SiO8 structure at the PBE+U level of DFT.

Results
Raw total energy in eV/atom: -8.229
Space group: Cmmm
Volume in Å³ per atom: 10.9

Cell: 4.5909 4.5901 6.2151 Å, 90.00 90.00 88.10°
Last column: magnetic moment on the atom in μB.
Element x y z (fractional)
Pa 0.0000 0.0000 0.5000  0.01
V 0.5000 0.5000 0.7951  0.50
V 0.5000 0.5000 0.2049  0.50
Si 0.0000 0.0000 0.0000  0.01
O 0.1951 0.8043 0.2049  -0.02
O 0.7216 0.7222 0.0000  0.00
O 0.8048 0.1957 0.2049  -0.02
O 0.8049 0.1957 0.7951  -0.02
O 0.2784 0.2778 0.0000  0.00
O 0.1952 0.8043 0.7951  -0.02
O 0.6816 0.6823 0.5000  -0.01
O 0.3184 0.3177 0.5000  -0.01